## 1
# DyTm2Hg2 (GGA-PBE, relaxed)
data_DyTm2Hg2
_symmetry_space_group_name_H-M 'P 1 21/m 1'
_symmetry_Int_Tables_number 11
_cell_length_a 3.705
_cell_length_b 5.248
_cell_length_c 13.615
_cell_angle_alpha 90.00
_cell_angle_beta 97.84
_cell_angle_gamma 90.00
loop_
_symmetry_equiv_pos_as_xyz
'x,y,z'
'-x,-y,-z'
'-x,y+1/2,-z'
'x,-y+1/2,z'
loop_
_atom_site_label
_atom_site_type_symbol
_atom_site_fract_x
_atom_site_fract_y
_atom_site_fract_z
_atom_site_occupancy
Dy1 Dy 0.147 0.250 0.294 1
Tm1 Tm 0.047 0.750 0.095 1
Tm2 Tm 0.236 0.750 0.472 1
Hg1 Hg 0.356 0.250 0.711 1
Hg2 Hg 0.453 0.750 0.906 1
# DOS(E_F)   8.322 states/eV/cell
# Total magnetization   0.00 μB per cell



## 2
# DyTm2Hg2 (GGA-PBE, relaxed)
data_DyTm2Hg2
_symmetry_space_group_name_H-M 'P -3 m 1'
_symmetry_Int_Tables_number 164
_symmetry_space_group_name_Hall '-P 3 2"'
_cell_length_a 5.0967
_cell_length_b 5.0967
_cell_length_c 6.3372
_cell_angle_alpha 90.00
_cell_angle_beta 90.00
_cell_angle_gamma 120.00
loop_
_atom_site_label
_atom_site_type_symbol
_atom_site_fract_x
_atom_site_fract_y
_atom_site_fract_z
_atom_site_occupancy
Dy1 Dy 0.0000 0.0000 0.0000 1
Tm1 Tm 0.3333 0.6667 0.6607 1
Hg1 Hg 0.3333 0.6667 0.1825 1
# DOS(E_F)   5.783 states/eV/cell
# Total magnetization   0.00 μB per cell



Short version: 1 is the most stable of them.



## 1
# DyTmZnHg (GGA-PBE, relaxed)
data_DyTmZnHg
_symmetry_space_group_name_H-M 'P 4 m m'
_symmetry_Int_Tables_number 99
_cell_length_a 3.582
_cell_length_b 3.582
_cell_length_c 7.379
_cell_angle_alpha 90.00
_cell_angle_beta 90.00
_cell_angle_gamma 90.00
loop_
_symmetry_equiv_pos_as_xyz
'x,y,z'
'-y,x,z'
'-x,-y,z'
'y,-x,z'
'-x,y,z'
'y,x,z'
'x,-y,z'
'-y,-x,z'
loop_
_atom_site_label
_atom_site_type_symbol
_atom_site_fract_x
_atom_site_fract_y
_atom_site_fract_z
_atom_site_occupancy
Dy1 Dy 0.000 0.000 0.000 1
Tm1 Tm 0.000 0.000 0.532 1
Zn1 Zn 0.500 0.500 0.760 1
Hg1 Hg 0.500 0.500 0.274 1
# DOS(E_F)   3.381 states/eV/cell
# Total magnetization   0.00 μB per cell



## 2
# DyTmZnHg (GGA-PBE, relaxed)
data_DyTmZnHg
_symmetry_space_group_name_H-M 'F -4 3 m'
_symmetry_Int_Tables_number 216
_symmetry_space_group_name_Hall 'F -4 2 3'
_cell_length_a 7.262
_cell_length_b 7.262
_cell_length_c 7.262
_cell_angle_alpha 90.00
_cell_angle_beta 90.00
_cell_angle_gamma 90.00
loop_
_atom_site_label
_atom_site_type_symbol
_atom_site_fract_x
_atom_site_fract_y
_atom_site_fract_z
_atom_site_occupancy
Dy1 Dy 0.000 0.000 0.000 1
Tm1 Tm 0.000 0.000 0.500 1
Zn1 Zn 0.250 0.250 0.250 1
Hg1 Hg 0.250 0.250 0.750 1
# DOS(E_F)   15.080 states/eV/cell
# Total magnetization   0.00 μB per cell



Short version: 1 is the most stable of them.



## 1
# Dy4YHg (GGA-PBE, relaxed)
data_Dy4YHg
_symmetry_space_group_name_H-M 'C 1 2/c 1'
_symmetry_Int_Tables_number 15
_cell_length_a 8.703
_cell_length_b 13.880
_cell_length_c 6.356
_cell_angle_alpha 90.00
_cell_angle_beta 108.56
_cell_angle_gamma 90.00
loop_
_symmetry_equiv_pos_as_xyz
'x,y,z'
'-x,-y,-z'
'-x,y,-z+1/2'
'x,-y,z+1/2'
'x+1/2,y+1/2,z'
'-x+1/2,-y+1/2,-z'
'-x+1/2,y+1/2,-z+1/2'
'x+1/2,-y+1/2,z+1/2'
loop_
_atom_site_label
_atom_site_type_symbol
_atom_site_fract_x
_atom_site_fract_y
_atom_site_fract_z
_atom_site_occupancy
Dy1 Dy 0.099 0.188 0.044 1
Dy2 Dy 0.218 0.378 0.378 1
Y1 Y 0.000 0.409 0.750 1
Hg1 Hg 0.000 0.001 0.750 1
# DOS(E_F)   32.755 states/eV/cell
# Total magnetization   0.00 μB per cell



## 2
# Dy4YHg (GGA-PBE, relaxed)
data_Dy4YHg
_symmetry_space_group_name_H-M 'P 4/m m m'
_symmetry_Int_Tables_number 123
_symmetry_space_group_name_Hall '-P 4 2'
_cell_length_a 3.570
_cell_length_b 3.570
_cell_length_c 14.043
_cell_angle_alpha 90.00
_cell_angle_beta 90.00
_cell_angle_gamma 90.00
loop_
_atom_site_label
_atom_site_type_symbol
_atom_site_fract_x
_atom_site_fract_y
_atom_site_fract_z
_atom_site_occupancy
Dy1 Dy 0.000 0.000 0.143 1
Dy2 Dy 0.500 0.500 0.321 1
Y1 Y 0.000 0.000 0.500 1
Hg1 Hg 0.500 0.500 0.000 1
# DOS(E_F)   8.501 states/eV/cell
# Total magnetization   0.00 μB per cell



Short version: 2 is the most stable of them.



## 1
# DyYHg6 (GGA-PBE, relaxed)
data_DyYHg6
_symmetry_space_group_name_H-M 'A m m 2'
_symmetry_Int_Tables_number 38
_cell_length_a 5.014
_cell_length_b 6.722
_cell_length_c 11.417
_cell_angle_alpha 90.00
_cell_angle_beta 90.00
_cell_angle_gamma 90.00
loop_
_symmetry_equiv_pos_as_xyz
'x,y,z'
'-x,-y,z'
'-x,y,z'
'x,-y,z'
'x,y+1/2,z+1/2'
'-x,-y+1/2,z+1/2'
'-x,y+1/2,z+1/2'
'x,-y+1/2,z+1/2'
loop_
_atom_site_label
_atom_site_type_symbol
_atom_site_fract_x
_atom_site_fract_y
_atom_site_fract_z
_atom_site_occupancy
Dy1 Dy 0.000 0.000 0.000 1
Y1 Y 0.500 0.000 0.320 1
Hg1 Hg 0.000 0.000 0.491 1
Hg2 Hg 0.000 0.243 0.745 1
Hg3 Hg 0.500 0.000 0.830 1
Hg4 Hg 0.500 0.244 0.574 1
# DOS(E_F)   10.116 states/eV/cell
# Total magnetization   0.00 μB per cell



## 2
# DyYHg6 (GGA-PBE, relaxed)
data_DyYHg6
_symmetry_space_group_name_H-M 'P 4/m m m'
_symmetry_Int_Tables_number 123
_symmetry_space_group_name_Hall '-P 4 2'
_cell_length_a 4.513
_cell_length_b 4.513
_cell_length_c 9.622
_cell_angle_alpha 90.00
_cell_angle_beta 90.00
_cell_angle_gamma 90.00
loop_
_atom_site_label
_atom_site_type_symbol
_atom_site_fract_x
_atom_site_fract_y
_atom_site_fract_z
_atom_site_occupancy
Dy1 Dy 0.000 0.000 0.000 1
Y1 Y 0.000 0.000 0.500 1
Hg1 Hg 0.000 0.500 0.249 1
Hg2 Hg 0.500 0.500 0.000 1
Hg3 Hg 0.500 0.500 0.500 1
# DOS(E_F)   4.679 states/eV/cell
# Total magnetization   0.00 μB per cell



Short version: 1 is the most stable of them.



## 1
# DyYZnHg (GGA-PBE, relaxed)
data_DyYZnHg
_symmetry_space_group_name_H-M 'P 4 m m'
_symmetry_Int_Tables_number 99
_cell_length_a 3.618
_cell_length_b 3.618
_cell_length_c 7.414
_cell_angle_alpha 90.00
_cell_angle_beta 90.00
_cell_angle_gamma 90.00
loop_
_symmetry_equiv_pos_as_xyz
'x,y,z'
'-y,x,z'
'-x,-y,z'
'y,-x,z'
'-x,y,z'
'y,x,z'
'x,-y,z'
'-y,-x,z'
loop_
_atom_site_label
_atom_site_type_symbol
_atom_site_fract_x
_atom_site_fract_y
_atom_site_fract_z
_atom_site_occupancy
Dy1 Dy 0.000 0.000 0.000 1
Y1 Y 0.000 0.000 0.532 1
Zn1 Zn 0.500 0.500 0.767 1
Hg1 Hg 0.500 0.500 0.264 1
# DOS(E_F)   3.715 states/eV/cell
# Total magnetization   0.00 μB per cell



## 2
# DyYZnHg (GGA-PBE, relaxed)
data_DyYZnHg
_symmetry_space_group_name_H-M 'F -4 3 m'
_symmetry_Int_Tables_number 216
_symmetry_space_group_name_Hall 'F -4 2 3'
_cell_length_a 7.320
_cell_length_b 7.320
_cell_length_c 7.320
_cell_angle_alpha 90.00
_cell_angle_beta 90.00
_cell_angle_gamma 90.00
loop_
_atom_site_label
_atom_site_type_symbol
_atom_site_fract_x
_atom_site_fract_y
_atom_site_fract_z
_atom_site_occupancy
Dy1 Dy 0.000 0.000 0.000 1
Y1 Y 0.000 0.000 0.500 1
Zn1 Zn 0.250 0.250 0.750 1
Hg1 Hg 0.250 0.250 0.250 1
# DOS(E_F)   16.490 states/eV/cell
# Total magnetization   0.13 μB per cell



Short version: 1 is the most stable of them.



## 1
# Dy4Zn3Hg (GGA-PBE, relaxed)
data_Dy4Zn3Hg
_symmetry_space_group_name_H-M 'P m m 2'
_symmetry_Int_Tables_number 25
_cell_length_a 3.694
_cell_length_b 4.588
_cell_length_c 11.390
_cell_angle_alpha 90.00
_cell_angle_beta 90.00
_cell_angle_gamma 90.00
loop_
_symmetry_equiv_pos_as_xyz
'x,y,z'
'-x,-y,z'
'-x,y,z'
'x,-y,z'
loop_
_atom_site_label
_atom_site_type_symbol
_atom_site_fract_x
_atom_site_fract_y
_atom_site_fract_z
_atom_site_occupancy
Dy1 Dy 0.000 0.000 0.000 1
Dy2 Dy 0.000 0.500 0.296 1
Dy3 Dy 0.500 0.000 0.488 1
Dy4 Dy 0.500 0.500 0.802 1
Zn1 Zn 0.000 0.500 0.567 1
Zn2 Zn 0.500 0.000 0.216 1
Zn3 Zn 0.500 0.500 0.076 1
Hg1 Hg 0.000 0.000 0.719 1
# DOS(E_F)   8.679 states/eV/cell
# Total magnetization   0.00 μB per cell



## 2
# Dy4Zn3Hg (GGA-PBE, relaxed)
data_Dy4Zn3Hg
_symmetry_space_group_name_H-M 'P 4/m m m'
_symmetry_Int_Tables_number 123
_symmetry_space_group_name_Hall '-P 4 2'
_cell_length_a 5.084
_cell_length_b 5.084
_cell_length_c 7.280
_cell_angle_alpha 90.00
_cell_angle_beta 90.00
_cell_angle_gamma 90.00
loop_
_atom_site_label
_atom_site_type_symbol
_atom_site_fract_x
_atom_site_fract_y
_atom_site_fract_z
_atom_site_occupancy
Dy1 Dy 0.000 0.500 0.241 1
Zn1 Zn 0.000 0.000 0.000 1
Zn2 Zn 0.000 0.000 0.500 1
Zn3 Zn 0.500 0.500 0.000 1
Hg1 Hg 0.500 0.500 0.500 1
# DOS(E_F)   8.776 states/eV/cell
# Total magnetization   0.00 μB per cell



Short version: 2 is the most stable of them.